1.
{"formula": "CsAuF5", "functional": "PBE", "state": "relaxed", "e_form_raw_ev_per_atom": -1.611, "dos_at_fermi_per_ev_atom": 0.073, "cell": [[5.056, -3.432, 0.000], [5.056, 3.432, 0.000], [-3.834, 0.000, 7.922]], "species": ["Cs", "Cs", "Au", "Au", "F", "F", "F", "F", "F", "F", "F", "F", "F", "F"], "fractional_positions": [[0.000, 0.000, 0.250], [0.000, 0.000, 0.750], [0.500, 0.500, 0.000], [0.500, 0.500, 0.500], [0.144, 0.558, 0.425], [0.144, 0.559, 0.926], [0.441, 0.856, 0.574], [0.442, 0.856, 0.075], [0.500, 0.500, 0.250], [0.500, 0.500, 0.750], [0.558, 0.144, 0.925], [0.559, 0.144, 0.426], [0.856, 0.441, 0.074], [0.856, 0.442, 0.575]]}


2.
{"formula": "CsAu3F9", "functional": "PBE", "state": "relaxed", "e_form_raw_ev_per_atom": -1.233, "dos_at_fermi_per_ev_atom": 0.173, "cell": [[5.909, -6.766, 0.000], [5.909, 6.766, 0.000], [0.000, 0.000, 6.813]], "species": ["Cs", "Cs", "Au", "Au", "Au", "Au", "Au", "Au", "F", "F", "F", "F", "F", "F", "F", "F", "F", "F", "F", "F", "F", "F", "F", "F", "F", "F"], "fractional_positions": [[0.142, 0.142, 0.000], [0.858, 0.858, 0.500], [0.223, 0.669, 0.039], [0.262, 0.262, 0.500], [0.331, 0.777, 0.461], [0.669, 0.223, 0.961], [0.738, 0.738, 0.000], [0.777, 0.331, 0.539], [0.056, 0.222, 0.392], [0.132, 0.470, 0.947], [0.133, 0.678, 0.334], [0.222, 0.056, 0.608], [0.304, 0.459, 0.376], [0.305, 0.695, 0.750], [0.322, 0.867, 0.166], [0.459, 0.304, 0.624], [0.470, 0.132, 0.053], [0.530, 0.868, 0.553], [0.541, 0.696, 0.124], [0.678, 0.133, 0.666], [0.695, 0.305, 0.250], [0.696, 0.541, 0.876], [0.778, 0.944, 0.108], [0.867, 0.322, 0.834], [0.868, 0.530, 0.447], [0.944, 0.778, 0.892]]}


3.
{"formula": "Cs3AuF", "functional": "PBE", "state": "relaxed", "relative_energy_mev_per_atom": 5, "e_form_raw_ev_per_atom": -1.140, "dos_at_fermi_per_ev_atom": 0.750, "cell": [[5.939, 0.000, 0.000], [0.000, 5.939, 0.000], [0.000, 0.000, 5.939]], "species": ["Cs", "Cs", "Cs", "Au", "F"], "fractional_positions": [[0.000, 0.000, 0.500], [0.000, 0.500, 0.000], [0.500, 0.000, 0.000], [0.500, 0.500, 0.500], [0.000, 0.000, 0.000]]}


4.
{"formula": "Cs3Au2F", "functional": "PBE", "state": "relaxed", "relative_energy_mev_per_atom": 0, "e_form_raw_ev_per_atom": -1.083, "dos_at_fermi_per_ev_atom": 0.000, "cell": [[2.341, -12.864, 0.000], [2.341, 12.864, 0.000], [0.000, 0.000, 8.490]], "species": ["Cs", "Cs", "Cs", "Cs", "Cs", "Cs", "Au", "Au", "Au", "Au", "F", "F"], "fractional_positions": [[0.084, 0.916, 0.504], [0.084, 0.916, 0.996], [0.282, 0.718, 0.750], [0.718, 0.282, 0.250], [0.916, 0.084, 0.004], [0.916, 0.084, 0.496], [0.332, 0.668, 0.250], [0.497, 0.503, 0.750], [0.503, 0.497, 0.250], [0.668, 0.332, 0.750], [0.155, 0.845, 0.250], [0.845, 0.155, 0.750]]}


5.
{"formula": "Cs8Au4F", "functional": "PBE", "state": "relaxed", "e_form_raw_ev_per_atom": -0.575, "dos_at_fermi_per_ev_atom": 0.574, "cell": [[-6.223, 6.223, 4.513], [6.223, -6.223, 4.513], [6.223, 6.223, -4.513]], "species": ["Cs", "Cs", "Cs", "Cs", "Cs", "Cs", "Cs", "Cs", "Au", "Au", "Au", "Au", "F"], "fractional_positions": [[0.000, 0.228, 0.228], [0.000, 0.772, 0.772], [0.228, 0.000, 0.228], [0.237, 0.500, 0.737], [0.500, 0.237, 0.737], [0.500, 0.763, 0.263], [0.763, 0.500, 0.263], [0.772, 0.000, 0.772], [0.000, 0.000, 0.500], [0.000, 0.500, 0.000], [0.500, 0.000, 0.000], [0.500, 0.500, 0.500], [0.000, 0.000, 0.000]]}


6.
{"formula": "Cs2GaAuF6", "functional": "PBE", "state": "relaxed", "e_form_raw_ev_per_atom": -2.267, "cell": [[0.000, 4.509, 4.509], [4.509, 0.000, 4.509], [4.509, 4.509, 0.000]], "species": ["Cs", "Cs", "Ga", "Au", "F", "F", "F", "F", "F", "F"], "fractional_positions": [[0.250, 0.250, 0.250], [0.750, 0.750, 0.750], [0.000, 0.000, 0.000], [0.500, 0.500, 0.500], [0.215, 0.215, 0.785], [0.215, 0.785, 0.215], [0.215, 0.785, 0.785], [0.785, 0.215, 0.215], [0.785, 0.215, 0.785], [0.785, 0.785, 0.215]]}


7.
{"formula": "CsRbGeAuF", "functional": "PBE", "state": "relaxed", "relative_energy_mev_per_atom": 184, "e_form_raw_ev_per_atom": -0.951, "dos_at_fermi_per_ev_atom": 0.153, "cell": [[4.572, 0.000, 0.000], [0.012, 6.327, 0.000], [2.277, 3.098, 5.601]], "species": ["Cs", "Rb", "Ge", "Au", "F"], "fractional_positions": [[0.000, 0.000, 0.000], [0.179, 0.697, 0.644], [0.789, 0.331, 0.420], [0.370, 0.342, 0.258], [0.658, 0.963, 0.684]]}


8.
{"formula": "CsRbGeAuF", "functional": "PBE", "state": "relaxed", "relative_energy_mev_per_atom": 0, "e_form_raw_ev_per_atom": -1.135, "dos_at_fermi_per_ev_atom": 0.370, "cell": [[4.291, 0.000, 0.000], [1.962, 3.830, 0.000], [2.056, 1.264, 9.285]], "species": ["Cs", "Rb", "Ge", "Au", "F"], "fractional_positions": [[0.000, 0.000, 0.000], [0.787, 0.785, 0.640], [0.561, 0.558, 0.329], [0.218, 0.214, 0.334], [0.397, 0.399, 0.813]]}


9.
{"formula": "CsRbGeAuF", "functional": "PBE", "state": "relaxed", "relative_energy_mev_per_atom": 1, "e_form_raw_ev_per_atom": -1.134, "dos_at_fermi_per_ev_atom": 0.513, "cell": [[2.182, 1.260, 9.262], [-2.182, 1.260, 9.262], [0.000, -2.519, 9.262]], "species": ["Cs", "Rb", "Ge", "Au", "F"], "fractional_positions": [[0.000, 0.000, 0.000], [0.787, 0.787, 0.787], [0.223, 0.223, 0.223], [0.556, 0.556, 0.556], [0.395, 0.395, 0.395]]}


10.
{"formula": "CsRbGeAuF", "functional": "PBE", "state": "relaxed", "relative_energy_mev_per_atom": 63, "e_form_raw_ev_per_atom": -1.072, "dos_at_fermi_per_ev_atom": 0.278, "cell": [[3.620, 0.000, 0.000], [0.000, 3.892, 0.000], [-1.673, 0.000, 10.042]], "species": ["Cs", "Rb", "Ge", "Au", "F"], "fractional_positions": [[0.000, 0.000, 0.000], [0.163, 0.500, 0.356], [0.793, 0.000, 0.627], [0.330, 0.500, 0.697], [0.567, 0.500, 0.147]]}


11.
{"formula": "Cs4HAu2F", "functional": "PBE", "state": "relaxed", "final_energy_ev_per_atom": -2.7322, "dos_at_fermi_per_ev_atom": 0.000, "cell": [[8.205, 0.000, 0.000], [0.000, 4.733, 0.000], [-2.724, 0.000, 8.137]], "species": ["Cs", "Cs", "Cs", "Cs", "H", "Au", "Au", "F"], "fractional_positions": [[0.229, 0.000, 0.208], [0.256, 0.500, 0.791], [0.744, 0.500, 0.209], [0.771, 0.000, 0.792], [0.500, 0.000, 0.000], [0.000, 0.000, 0.500], [0.500, 0.500, 0.500], [0.000, 0.500, 0.000]]}


12.
{"formula": "Cs3HAuF", "functional": "PBE", "state": "relaxed", "final_energy_ev_per_atom": -2.8635, "dos_at_fermi_per_ev_atom": 0.000, "cell": [[9.112, 0.000, 0.000], [0.000, 4.912, 0.000], [-4.026, 0.000, 10.471]], "species": ["Cs", "Cs", "Cs", "Cs", "Cs", "Cs", "H", "H", "Au", "Au", "F", "F"], "fractional_positions": [[0.000, 0.250, 0.176], [0.000, 0.750, 0.824], [0.301, 0.750, 0.477], [0.406, 0.250, 0.136], [0.594, 0.750, 0.864], [0.699, 0.250, 0.523], [0.178, 0.750, 0.109], [0.822, 0.250, 0.891], [0.255, 0.250, 0.744], [0.745, 0.750, 0.256], [0.355, 0.250, 0.370], [0.645, 0.750, 0.630]]}


| no. | density (g cm⁻³) | size of the total moment (μB per formula unit) |
| --- | --- | --- |
| 1 | 5.13 | 0.0 |
| 2 | 5.46 | 1.0 |
| 3 | 4.87 | 0.0 |
| 4 | 5.27 | 0.0 |
| 5 | 4.44 | 1.2 |
| 6 | 5.85 | 0.0 |
| 7 | 5.20 | 0.0 |
| 8 | 5.52 | 0.0 |
| 9 | 5.51 | 0.0 |
| 10 | 5.95 | 0.0 |
| 11 | 4.97 | 0.0 |
| 12 | 4.36 | 0.0 |